This record from Alexandria via LeMat-Bulk describes Pr5Sn3 after structural relaxation. The functional is PBE-GGA.

```
Pr5Sn3
1.0
9.386 0.000 0.000
-4.693 8.129 0.000
0.000 0.000 6.898
Pr Sn
10 6
Cartesian
-1.142 1.978 1.724
-3.551 6.151 5.173
2.283 0.000 1.724
1.142 1.978 5.173
0.000 5.419 0.000
0.000 5.419 3.449
4.693 2.710 0.000
4.693 2.710 3.449
7.103 0.000 5.173
3.551 6.151 1.724
-1.845 3.196 5.173
-2.848 4.932 1.724
3.691 0.000 5.173
1.845 3.196 1.724
5.695 0.000 1.724
2.848 4.932 5.173
```

Values from the calculation:
Distance to the lowest polymorph of the same formula ... 0.000 eV per atom
Calculated density ... 6.69 g cm⁻³
ΔH_f (0 K) ... -0.681 eV/atom